i:
Entry from the Alexandria database: a relaxed HfNbNF2 crystal (GGA-PBE).

Unit cell a=4.1182 b=4.1182 c=4.3193 alpha=90.00 beta=90.00 gamma=90.00
Space group P4/mmm (No. 123)
Inequivalent atoms, fractional coordinates:
Hf  0.0000  0.0000  0.0000 x1
Nb  0.5000  0.5000  0.5000 x1
N  0.0000  0.0000  0.5000 x1
F  0.0000  0.5000  0.0000 x2

## Properties
* mass density: 7.33 g/cm3
* D(E_F): 0.559 states/eV per atom


ii:
Entry from the Alexandria database: a relaxed HfNbNF2 crystal (GGA-PBE).

Unit cell a=4.1595 b=4.1595 c=4.1796 alpha=90.00 beta=90.00 gamma=90.00
Space group P4/mmm (No. 123)
Inequivalent atoms, fractional coordinates:
Hf  0.0000  0.0000  0.0000 x1
Nb  0.5000  0.5000  0.5000 x1
N  0.5000  0.5000  0.0000 x1
F  0.0000  0.5000  0.5000 x2

## Properties
* mass density: 7.43 g/cm3
* D(E_F): 0.765 states/eV per atom


The most stable arrangement is i, and the next structure is 38.7 kJ/mol of atoms less stable.